1.
Compound: Tm3Ge3Ru2
Source: the Alexandria database
Functional: PBE-GGA
Structure: relaxed

Lattice parameters (Å, degrees): 5.7590 5.7590 13.8034 90.00 90.00 136.71
Element x y z (fractional)
Ge: 0.3385 0.6615 0.2500
Tm: 0.9222 0.0778 0.1130
Ge: 0.6146 0.3854 0.0409
Ru: 0.2129 0.7871 0.0832
Tm: 0.0778 0.9222 0.8870
Ge: 0.6615 0.3385 0.7500
Ru: 0.7871 0.2129 0.9168
Ru: 0.2129 0.7871 0.4168
Ge: 0.6146 0.3854 0.4591
Ge: 0.3854 0.6146 0.5409
Tm: 0.3523 0.6477 0.7500
Tm: 0.6477 0.3523 0.2500
Tm: 0.9222 0.0778 0.3870
Ge: 0.3854 0.6146 0.9591
Ru: 0.7871 0.2129 0.5832
Tm: 0.0778 0.9222 0.6130

Output
M_tot: 0.00 μB per formula unit
calculated formation energy: -0.79 eV per atom

---

2.
Compound: SrHf3Fe
Source: the Alexandria database
Functional: PBE-GGA
Structure: relaxed

Lattice parameters (Å, degrees): 4.9646 4.9646 4.9646 90.00 90.00 90.00
Element x y z (fractional)
Fe: 0.0000 0.0000 0.0000
Sr: 0.5000 0.5000 0.5000
Hf: 0.0000 0.5000 0.0000
Hf: 0.5000 0.0000 0.0000
Hf: 0.0000 0.0000 0.5000

Output
M_tot: 0.00 μB per formula unit
calculated formation energy: 0.31 eV per atom

---

3.
Compound: MgSc2Ni
Source: the Alexandria database
Functional: PBE-GGA
Structure: relaxed

Lattice parameters (Å, degrees): 9.3287 9.3287 9.3287 19.82 19.82 19.82
Element x y z (fractional)
Sc: 0.2497 0.2497 0.2497
Mg: 0.4851 0.4851 0.4851
Sc: 0.0167 0.0167 0.0167
Ni: 0.7485 0.7485 0.7485

Output
M_tot: 0.22 μB per formula unit
calculated formation energy: 0.00 eV per atom

---

4.
Compound: Y3Nb5N12
Source: the Alexandria database
Functional: PBE-GGA
Structure: relaxed

Lattice parameters (Å, degrees): 11.2469 11.2469 11.2469 109.47 109.47 109.47
Element x y z (fractional)
N: 0.8793 0.2942 0.4727
Nb: 0.2500 0.3750 0.6250
Nb: 0.7500 0.6250 0.3750
N: 0.4066 0.3793 0.5851
N: 0.6207 0.0273 0.2058
N: 0.0934 0.1785 0.4727
Y: 0.7500 0.8750 0.6250
Y: 0.2500 0.1250 0.3750
Nb: 0.3750 0.2500 0.1250
N: 0.9727 0.3793 0.2942
N: 0.2942 0.8793 0.9727
Nb: 0.0000 0.5000 0.0000
Y: 0.1250 0.2500 0.8750
N: 0.1785 0.0851 0.7058
N: 0.3215 0.5273 0.4066
Nb: 0.2500 0.8750 0.1250
N: 0.2058 0.6785 0.0851
Nb: 0.8750 0.2500 0.6250
N: 0.4149 0.1207 0.5934
N: 0.4727 0.7942 0.8793
N: 0.3793 0.4066 0.0851
Y: 0.1250 0.8750 0.7500
N: 0.1207 0.4149 0.0934
Y: 0.6250 0.3750 0.7500
Y: 0.8750 0.1250 0.2500
Nb: 0.7500 0.1250 0.8750
N: 0.9149 0.0934 0.6207
N: 0.5273 0.2058 0.1207
Y: 0.6250 0.2500 0.3750
N: 0.7058 0.5851 0.1785
N: 0.3793 0.9727 0.7942
N: 0.5851 0.8793 0.4066
N: 0.3215 0.7942 0.4149
N: 0.7942 0.4727 0.3793
Y: 0.2500 0.6250 0.8750
Y: 0.3750 0.6250 0.2500
Y: 0.3750 0.7500 0.6250
N: 0.5851 0.7058 0.6785
Nb: 0.6250 0.8750 0.2500
N: 0.0934 0.9149 0.1207
Nb: 0.0000 0.5000 0.5000
Y: 0.7500 0.3750 0.1250
N: 0.8215 0.9066 0.0273
N: 0.5934 0.9727 0.6785
N: 0.1207 0.7058 0.5273
N: 0.7058 0.1207 0.0273
N: 0.4149 0.2942 0.3215
N: 0.5934 0.6207 0.4149
N: 0.9066 0.8215 0.5273
N: 0.4066 0.0273 0.3215
Nb: 0.6250 0.7500 0.8750
N: 0.2058 0.5273 0.6207
N: 0.4727 0.6785 0.0934
N: 0.8793 0.5851 0.9066
Nb: 0.5000 0.0000 0.0000
N: 0.0851 0.9066 0.3793
N: 0.0273 0.4066 0.8215
Nb: 0.3750 0.1250 0.7500
Nb: 0.0000 0.0000 0.5000
Nb: 0.1250 0.7500 0.3750
N: 0.6785 0.4727 0.5934
N: 0.0851 0.1785 0.2058
Nb: 0.8750 0.6250 0.7500
N: 0.0273 0.6207 0.7058
N: 0.8215 0.9149 0.2942
Nb: 0.1250 0.3750 0.2500
N: 0.9149 0.8215 0.7942
Nb: 0.0000 0.0000 0.0000
N: 0.2942 0.4149 0.8215
Nb: 0.5000 0.5000 0.0000
N: 0.9727 0.5934 0.1785
Y: 0.8750 0.7500 0.1250
N: 0.1785 0.0934 0.9727
Nb: 0.5000 0.0000 0.5000
N: 0.7942 0.3215 0.9149
Nb: 0.5000 0.5000 0.5000
N: 0.9066 0.0851 0.8793
N: 0.6207 0.5934 0.9149
N: 0.5273 0.3215 0.9066
N: 0.6785 0.2058 0.5851

Output
uncorrected formation energy: -0.907 eV/atom
M_tot: 0.03 μB per formula unit

---

| no. | Fermi-level density of states (states/eV per atom) |
| --- | --- |
| 1 | 0.398 |
| 2 | 1.470 |
| 3 | 1.236 |
| 4 | 0.823 |